Ca2CuMoO: optimized geometry, GGA+U.

Computed properties:
Its total energy is -15.2 eV/cell. The spin magnetization is 4.90 μB per formula unit.

a b c (Å): 5.823 5.823 4.733
angles (deg): 90.00 90.00 90.00
Positions (direct):
Ca: 0.000 0.500 0.000
Ca: 0.500 0.000 0.000
Cu: 0.000 0.000 0.500
Mo: 0.000 0.000 0.000
O: 0.500 0.500 0.500